BaIr4Se8 (GGA-PBE, relaxed); symmetry = Cm (8); formation energy without anion corrections = -574 meV/atom; M_tot = 0.0 μB per formula unit
1.0
-1.1094 -3.4294 -1.3936
6.9826 -4.5060 0.1716
-1.8068 -4.7846 7.8542
Ba Ir Se
1 4 8
direct
0.5165 0.0012 0.9657
0.3824 0.8032 0.4320
0.8489 0.5143 0.7879
0.1824 0.4891 0.1461
0.6489 0.2003 0.5020
0.1224 0.3597 0.3956
0.5645 0.6686 0.2025
0.4668 0.3351 0.7314
0.9089 0.6439 0.5384
0.8501 0.9821 0.3177
0.2188 0.6626 0.8999
0.1813 0.0214 0.6161
0.8126 0.3406 0.0342



CdSi2Rh (GGA-PBE, relaxed); symmetry = Pmm2 (25); formation energy without anion corrections = -57 meV/atom; M_tot = 0.0 μB per formula unit
1.0
2.9242 0.0000 0.0000
0.0000 3.2784 0.0000
0.0000 0.0000 6.8724
Cd Rh Si
1 1 2
direct
0.0000 0.0000 0.5183
0.5000 0.5000 0.8137
0.0000 0.0000 0.9786
0.5000 0.5000 0.1893



ZrHgSbBr2 (GGA-PBE, relaxed); symmetry = P4/mmm (123); formation energy without anion corrections = 643 meV/atom; M_tot = 0.6 μB per formula unit; polymorph energy (0 for the lowest one) = 0.068 eV/atom
1.0
5.2135 0.0000 0.0000
0.0000 6.0274 0.0000
0.0000 0.0000 5.2135
Sb Br Hg Zr
1 2 1 1
direct
0.5000 0.5000 0.5000
0.0000 0.0000 0.5000
0.5000 0.0000 0.0000
0.0000 0.0000 0.0000
0.0000 0.5000 0.0000



Tc2Se (GGA-PBE, relaxed); symmetry = I4/mmm (139); formation energy without anion corrections = 62 meV/atom; M_tot = 0.0 μB per formula unit; polymorph energy (0 for the lowest one) = 0.160 eV/atom
1.0
-3.4014 -2.5431 3.4128
0.5865 -2.5491 4.7794
1.0636 4.3632 -3.0847
Se Tc
1 2
direct
0.5000 0.5000 0.0000
0.1664 0.1664 0.0000
0.8336 0.8336 0.0000



LaHo2PuAs4 (GGA-PBE, relaxed); symmetry = P2/m (10); energy of formation = -1.387 eV/atom; M_tot = 4.9 μB per formula unit
1.0
4.1863 0.0000 0.0000
0.0000 7.2285 -0.1387
0.0000 2.5475 6.7787
La Ho Pu As
1 2 1 4
direct
0.0000 0.5000 0.5000
0.0000 0.0000 0.0000
0.5000 0.0000 0.5000
0.5000 0.5000 0.0000
0.0000 0.7550 0.7553
0.0000 0.2450 0.2447
0.5000 0.7602 0.2400
0.5000 0.2398 0.7600



ZrSbCl2 (GGA-PBE, relaxed); symmetry = P4/mmm (123); formation energy without anion corrections = -863 meV/atom; M_tot = 0.4 μB per formula unit; polymorph energy (0 for the lowest one) = 0.213 eV/atom
1.0
3.1465 0.0000 0.0000
0.0000 3.1456 0.0000
0.0000 0.0000 11.1523
Sb Zr Cl
1 1 2
direct
0.5000 0.5000 0.2500
0.5000 0.5000 0.7500
0.0000 0.0000 0.8898
0.0000 0.0000 0.6102